Material: SmYTmCd
Method: DFT, PBE
State: relaxed

As for the formation energy from the elements: -14.9 kJ/mol of atoms. The calculation puts the total magnetization at 0.00 μB per formula unit. The volume is 29.26 A^3/atom.

The space group is P4mm (No. 99) and the conventional cell measures 3.5978, 3.5978 and 9.0410 Å, with angles of 90.00, 90.00 and 90.00 degrees. Symmetry generates all atoms from Sm at (0.0000, 0.0000, 0.0000), Y at (0.5000, 0.5000, 0.7187), Tm at (0.5000, 0.5000, 0.2739) and Cd at (0.0000, 0.0000, 0.4916).

=====

Material: Er2CoTc
Method: DFT, PBE
State: relaxed

As for the formation energy from the elements: -2.0 kJ/mol of atoms. The calculation puts the total magnetization at 1.27 μB per formula unit. The volume is 19.07 A^3/atom.

The space group is P4/mmm (No. 123) and the conventional cell measures 3.3810, 3.3810 and 6.6715 Å, with angles of 90.00, 90.00 and 90.00 degrees. Symmetry generates all atoms from Er at (0.0000, 0.0000, 0.2454), Co at (0.5000, 0.5000, 0.0000) and Tc at (0.5000, 0.5000, 0.5000).

=====

Material: GaGe3I
Method: DFT, PBE
State: relaxed

The uncorrected formation energy is 294 kJ/mol of formula units. The calculation puts the total magnetization at 0.00 μB per formula unit. The volume is 26.59 A^3/atom.

The space group is Pm-3m (No. 221) and the conventional cell measures 5.1037, 5.1037 and 5.1037 Å, with angles of 90.00, 90.00 and 90.00 degrees. Symmetry generates all atoms from Ga at (0.0000, 0.0000, 0.0000), Ge at (0.0000, 0.0000, 0.5000) and I at (0.5000, 0.5000, 0.5000).

=====

Material: ZnPt2
Method: DFT, PBE
State: relaxed

As for the formation energy from the elements: -39.1 kJ/mol of atoms. The calculation puts the total magnetization at 0.00 μB per formula unit. The volume is 15.08 A^3/atom.

The space group is I4_1/amd (No. 141, origin choice 2) and the conventional cell measures 3.9141, 3.9141 and 23.6197 Å, with angles of 90.00, 90.00 and 90.00 degrees. Symmetry generates all atoms from Zn at (0.0000, 0.2500, 0.2936), Pt at (0.0000, 0.2500, 0.1238) and Pt at (0.0000, 0.2500, 0.7901).